# PrGa4NiAu2 | Alexandria via LeMat-Bulk | PBE-GGA | optimized geometry
data_PrGa4NiAu2
_chemical_formula_sum 'Pr3 Ga12 Ni3 Au6'
_cell_length_a 4.3741
_cell_length_b 4.3741
_cell_length_c 26.7663
_cell_angle_alpha 90.00
_cell_angle_beta 90.00
_cell_angle_gamma 120.00
_space_group_name_H-M_alt 'R -3 m'
_space_group_IT_number 166
_space_group_name_Hall '-R 3 2"'
loop_
_atom_site_label
_atom_site_type_symbol
_atom_site_fract_x
_atom_site_fract_y
_atom_site_fract_z
Pr1 Pr 0.0000 0.0000 0.0000
Ga1 Ga 0.0000 0.0000 0.1365
Ga2 Ga 0.0000 0.0000 0.4021
Ni1 Ni 0.0000 0.0000 0.5000
Au1 Au 0.0000 0.0000 0.2430
# ΔH_f (0 K) ... -38.49 kJ/mol of atoms
# N(E_F) ... 3.3 states/eV/f.u.
# Total magnetization ... 0.00 μB per cell

# CaZn | Alexandria via LeMat-Bulk | PBE-GGA | optimized geometry
data_CaZn
_chemical_formula_sum 'Ca2 Zn2'
_cell_length_a 3.625
_cell_length_b 3.625
_cell_length_c 7.978
_cell_angle_alpha 90.00
_cell_angle_beta 90.00
_cell_angle_gamma 90.00
_space_group_name_H-M_alt 'P 4/n m m'
_space_group_IT_number 129
loop_
_space_group_symop_operation_xyz
'x,y,z'
'-x,-y,-z'
'-y+1/2,x,z'
'y+1/2,-x,-z'
'-x+1/2,-y+1/2,z'
'x+1/2,y+1/2,-z'
'y,-x+1/2,z'
'-y,x+1/2,-z'
'x+1/2,-y,-z'
'-x+1/2,y,z'
'-y,-x,-z'
'y,x,z'
'-x,y+1/2,-z'
'x,-y+1/2,z'
'y+1/2,x+1/2,-z'
'-y+1/2,-x+1/2,z'
loop_
_atom_site_label
_atom_site_type_symbol
_atom_site_fract_x
_atom_site_fract_y
_atom_site_fract_z
Ca1 Ca 0.250 0.250 0.191
Zn1 Zn 0.250 0.250 0.580
# ΔH_f (0 K) ... -13.21 kJ/mol of atoms
# N(E_F) ... 0.6 states/eV/f.u.
# Total magnetization ... 0.00 μB per cell

# Ac3TlCd8 | Alexandria via LeMat-Bulk | PBE-GGA | optimized geometry
data_Ac3TlCd8
_chemical_formula_sum 'Ac9 Tl3 Cd24'
_cell_length_a 6.2040
_cell_length_b 6.2040
_cell_length_c 30.3183
_cell_angle_alpha 90.00
_cell_angle_beta 90.00
_cell_angle_gamma 120.00
_space_group_name_H-M_alt 'R 3 m'
_space_group_IT_number 160
_space_group_name_Hall 'R 3 -2"'
loop_
_atom_site_label
_atom_site_type_symbol
_atom_site_fract_x
_atom_site_fract_y
_atom_site_fract_z
Ac1 Ac 0.0000 0.0000 0.0000
Ac2 Ac 0.0000 0.0000 0.1268
Ac3 Ac 0.0000 0.0000 0.5092
Tl1 Tl 0.0000 0.0000 0.6304
Cd1 Cd 0.0000 0.0000 0.3158
Cd2 Cd 0.0000 0.0000 0.8153
Cd3 Cd 0.9995 0.4998 0.5655
Cd4 Cd 0.0022 0.5011 0.0663
# ΔH_f (0 K) ... -23.46 kJ/mol of atoms
# N(E_F) ... 6.8 states/eV/f.u.
# Total magnetization ... 0.00 μB per cell

# ScIn2Au | Alexandria via LeMat-Bulk | PBE-GGA | optimized geometry
data_ScIn2Au
_chemical_formula_sum 'Sc1 In2 Au1'
_cell_length_a 4.411
_cell_length_b 4.411
_cell_length_c 4.340
_cell_angle_alpha 90.00
_cell_angle_beta 90.00
_cell_angle_gamma 90.00
_space_group_name_H-M_alt 'P 4/m m m'
_space_group_IT_number 123
_space_group_name_Hall '-P 4 2'
loop_
_atom_site_label
_atom_site_type_symbol
_atom_site_fract_x
_atom_site_fract_y
_atom_site_fract_z
Sc1 Sc 0.000 0.000 0.000
In1 In 0.000 0.500 0.500
Au1 Au 0.500 0.500 0.000
# ΔH_f (0 K) ... -42.15 kJ/mol of atoms
# N(E_F) ... 1.2 states/eV/f.u.
# Total magnetization ... 0.00 μB per cell

# Li2ThAl2Zn2 | Alexandria via LeMat-Bulk | PBE-GGA | optimized geometry
data_Li2ThAl2Zn2
_chemical_formula_sum 'Li4 Th2 Al4 Zn4'
_cell_length_a 7.669
_cell_length_b 4.422
_cell_length_c 8.007
_cell_angle_alpha 90.00
_cell_angle_beta 108.39
_cell_angle_gamma 90.00
_space_group_name_H-M_alt 'C 1 2/m 1'
_space_group_IT_number 12
_space_group_name_Hall '-C 2y'
loop_
_atom_site_label
_atom_site_type_symbol
_atom_site_fract_x
_atom_site_fract_y
_atom_site_fract_z
Li1 Li 0.144 0.000 0.434
Th1 Th 0.000 0.000 0.000
Al1 Al 0.069 0.500 0.706
Zn1 Zn 0.242 0.500 0.227
# ΔH_f (0 K) ... -25.80 kJ/mol of atoms
# N(E_F) ... 3.8 states/eV/f.u.
# Total magnetization ... 0.00 μB per cell

# DyY5P6 | Alexandria via LeMat-Bulk | PBE-GGA | optimized geometry
data_DyY5P6
_chemical_formula_sum 'Dy2 Y10 P12'
_cell_length_a 6.953
_cell_length_b 12.038
_cell_length_c 6.950
_cell_angle_alpha 90.00
_cell_angle_beta 109.47
_cell_angle_gamma 90.00
_space_group_name_H-M_alt 'C 1 2/m 1'
_space_group_IT_number 12
_space_group_name_Hall '-C 2y'
loop_
_atom_site_label
_atom_site_type_symbol
_atom_site_fract_x
_atom_site_fract_y
_atom_site_fract_z
Dy1 Dy 0.000 0.000 0.000
Y1 Y 0.000 0.167 0.500
Y2 Y 0.000 0.333 0.000
Y3 Y 0.000 0.500 0.500
P1 P 0.250 0.000 0.750
P2 P 0.250 0.166 0.250
# ΔH_f (0 K) ... -157.03 kJ/mol of atoms
# N(E_F) ... 1.0 states/eV/f.u.
# Total magnetization ... 0.00 μB per cell

# SrTa2Cr | Alexandria via LeMat-Bulk | PBE-GGA | optimized geometry
data_SrTa2Cr
_chemical_formula_sum 'Sr3 Ta6 Cr3'
_cell_length_a 3.1249
_cell_length_b 3.1249
_cell_length_c 29.1852
_cell_angle_alpha 90.00
_cell_angle_beta 90.00
_cell_angle_gamma 120.00
_space_group_name_H-M_alt 'R -3 m'
_space_group_IT_number 166
_space_group_name_Hall '-R 3 2"'
loop_
_atom_site_label
_atom_site_type_symbol
_atom_site_fract_x
_atom_site_fract_y
_atom_site_fract_z
Sr1 Sr 0.0000 0.0000 0.0000
Ta1 Ta 0.0000 0.0000 0.2306
Cr1 Cr 0.0000 0.0000 0.5000
# Energy above the lowest structure with this stoichiometry ... 223 meV/atom
# ΔH_f (0 K) ... 78.41 kJ/mol of atoms
# N(E_F) ... 5.4 states/eV/f.u.
# Total magnetization ... 0.00 μB per cell

# Ca2Hg2As | Alexandria via LeMat-Bulk | PBE-GGA | optimized geometry
data_Ca2Hg2As
_chemical_formula_sum 'Ca4 Hg4 As2'
_cell_length_a 7.808
_cell_length_b 7.808
_cell_length_c 4.868
_cell_angle_alpha 90.00
_cell_angle_beta 90.00
_cell_angle_gamma 90.00
_space_group_name_H-M_alt 'P 4/m b m'
_space_group_IT_number 127
_space_group_name_Hall '-P 4 2ab'
loop_
_atom_site_label
_atom_site_type_symbol
_atom_site_fract_x
_atom_site_fract_y
_atom_site_fract_z
Ca1 Ca 0.174 0.326 0.000
Hg1 Hg 0.139 0.639 0.500
As1 As 0.000 0.000 0.000
# Energy above the lowest structure with this stoichiometry ... 20 meV/atom
# ΔH_f (0 K) ... -43.94 kJ/mol of atoms
# N(E_F) ... 3.1 states/eV/f.u.
# Total magnetization ... 0.00 μB per cell

# AgW | Alexandria via LeMat-Bulk | PBE-GGA | optimized geometry
data_AgW
_chemical_formula_sum 'Ag2 W2'
_cell_length_a 4.0530
_cell_length_b 4.0530
_cell_length_c 5.4155
_cell_angle_alpha 90.00
_cell_angle_beta 90.00
_cell_angle_gamma 120.00
_space_group_name_H-M_alt 'P 63/m m c'
_space_group_IT_number 194
_space_group_name_Hall '-P 6c 2c'
loop_
_atom_site_label
_atom_site_type_symbol
_atom_site_fract_x
_atom_site_fract_y
_atom_site_fract_z
Ag1 Ag 0.0000 0.0000 0.0000
W1 W 0.3333 0.6667 0.2500
# Energy above the lowest structure with this stoichiometry ... 1651 meV/atom
# ΔH_f (0 K) ... 192.38 kJ/mol of atoms
# N(E_F) ... 2.6 states/eV/f.u.
# Total magnetization ... 0.00 μB per cell

# TlSiGeCl2 | Alexandria via LeMat-Bulk | PBE-GGA | optimized geometry
data_TlSiGeCl2
_chemical_formula_sum 'Tl1 Si1 Ge1 Cl2'
_cell_length_a 5.235
_cell_length_b 5.235
_cell_length_c 5.054
_cell_angle_alpha 90.00
_cell_angle_beta 90.00
_cell_angle_gamma 90.00
_space_group_name_H-M_alt 'P 4/m m m'
_space_group_IT_number 123
_space_group_name_Hall '-P 4 2'
loop_
_atom_site_label
_atom_site_type_symbol
_atom_site_fract_x
_atom_site_fract_y
_atom_site_fract_z
Tl1 Tl 0.000 0.000 0.000
Si1 Si 0.500 0.500 0.000
Ge1 Ge 0.500 0.500 0.500
Cl1 Cl 0.000 0.500 0.500
# ΔE_f (raw) ... -0.17 eV per formula unit
# N(E_F) ... 2.6 states/eV/f.u.
# Total magnetization ... 1.41 μB per cell

# NbTeH2PdI | Alexandria via LeMat-Bulk | PBE-GGA | optimized geometry
data_NbTeH2PdI
_chemical_formula_sum 'Nb2 Te2 H4 Pd2 I2'
_cell_length_a 8.512
_cell_length_b 3.828
_cell_length_c 8.822
_cell_angle_alpha 90.00
_cell_angle_beta 115.05
_cell_angle_gamma 90.00
_space_group_name_H-M_alt 'C 1 m 1'
_space_group_IT_number 8
_space_group_name_Hall 'C -2y'
loop_
_atom_site_label
_atom_site_type_symbol
_atom_site_fract_x
_atom_site_fract_y
_atom_site_fract_z
Nb1 Nb 0.000 0.000 0.000
Te1 Te 0.487 0.000 0.737
H1 H 0.218 0.000 0.172
H2 H 0.245 0.000 0.080
Pd1 Pd 0.250 0.000 0.870
I1 I 0.087 0.500 0.278
# Energy above the lowest structure with this stoichiometry ... 106 meV/atom
# N(E_F) ... 0.1 states/eV/f.u.
# Total magnetization ... 0.00 μB per cell

# Y2VSbN | Alexandria via LeMat-Bulk | PBE-GGA | optimized geometry
data_Y2VSbN
_chemical_formula_sum 'Y2 V1 Sb1 N1'
_cell_length_a 4.951
_cell_length_b 4.951
_cell_length_c 3.942
_cell_angle_alpha 90.00
_cell_angle_beta 90.00
_cell_angle_gamma 90.00
_space_group_name_H-M_alt 'P 4/m m m'
_space_group_IT_number 123
_space_group_name_Hall '-P 4 2'
loop_
_atom_site_label
_atom_site_type_symbol
_atom_site_fract_x
_atom_site_fract_y
_atom_site_fract_z
Y1 Y 0.000 0.500 0.000
V1 V 0.000 0.000 0.500
Sb1 Sb 0.500 0.500 0.500
N1 N 0.000 0.000 0.000
# ΔE_f (raw) ... -4.33 eV per formula unit
# N(E_F) ... 4.3 states/eV/f.u.
# Total magnetization ... 0.11 μB per cell